Record 1
# PBE TlReAsRh2, optimized geometry
# **Symmetry**: P4/mmm, No. 123
data_TlReAsRh2
_space_group_name_H-M_alt 'P 1'
_space_group_IT_number 1
_cell_length_a 4.8377
_cell_length_b 4.7388
_cell_length_c 4.8377
_cell_angle_alpha 90.00
_cell_angle_beta 90.00
_cell_angle_gamma 90.00
loop_
_space_group_symop_operation_xyz
'x,y,z'
loop_
_atom_site_label
_atom_site_type_symbol
_atom_site_fract_x
_atom_site_fract_y
_atom_site_fract_z
As1 As 0.0000 0.5000 0.0000
Rh1 Rh 0.5000 0.0000 0.0000
Rh2 Rh 0.0000 0.0000 0.5000
Re1 Re 0.0000 0.0000 0.0000
Tl1 Tl 0.5000 0.5000 0.5000

Record 2
# PBE Zr2RuPb, optimized geometry
# **Symmetry**: P4mm, No. 99
data_Zr2RuPb
_space_group_name_H-M_alt 'P 1'
_space_group_IT_number 1
_cell_length_a 3.3223
_cell_length_b 3.3223
_cell_length_c 7.6204
_cell_angle_alpha 90.00
_cell_angle_beta 90.00
_cell_angle_gamma 90.00
loop_
_space_group_symop_operation_xyz
'x,y,z'
loop_
_atom_site_label
_atom_site_type_symbol
_atom_site_fract_x
_atom_site_fract_y
_atom_site_fract_z
Ru1 Ru 0.5000 0.5000 0.7648
Zr1 Zr 0.5000 0.5000 0.2440
Zr2 Zr 0.0000 0.0000 0.9606
Pb1 Pb 0.0000 0.0000 0.5307

no.,energy relative to the elements (eV per atom)
1,0.827
2,-0.110